Entry 1:
A crystal of SrTcN2 relaxed with PBEsol. Source: the Alexandria database, functional meta-GGA SCAN.

Crystal system: tetragonal
E_form (uncorrected), meV per atom: -523.8

Cell and atoms, written as POSCAR:
```
SrTcN2
1.0
4.995 0.000 0.000
0.000 4.995 0.000
-2.498 -2.498 5.094
Sr Tc N
2 2 4
direct
0.750 0.250 0.500 Sr
0.500 0.500 0.000 Sr
0.250 0.750 0.500 Tc
0.000 0.000 0.000 Tc
0.995 0.375 0.250 N
0.255 0.875 0.250 N
0.625 0.745 0.750 N
0.125 0.005 0.750 N
```

---

Entry 2:
A crystal of ScAlTc2 relaxed with PBEsol. Source: the Alexandria database, functional meta-GGA SCAN.

E above lowest polymorph, meV/atom: 56
Crystal system: tetragonal

Cell and atoms, written as POSCAR:
```
ScAlTc2
1.0
3.283 0.000 0.000
0.000 3.283 0.000
0.000 0.000 5.803
Sc Tc Al
1 2 1
direct
0.500 0.500 0.500 Sc
0.000 0.000 0.791 Tc
0.000 0.000 0.209 Tc
0.500 0.500 0.000 Al
```

---

Entry 3:
A crystal of RuSe2SN relaxed with PBEsol. Source: the Alexandria database, functional meta-GGA SCAN.

Crystal system: tetragonal
E_form (uncorrected), meV per atom: 1183.3

Cell and atoms, written as POSCAR:
```
RuSe2SN
1.0
3.180 0.000 0.000
0.000 4.807 0.000
0.000 0.000 4.807
Ru S Se N
1 1 2 1
direct
0.500 0.500 0.500 Ru
0.000 0.000 0.000 S
0.000 0.000 0.500 Se
0.000 0.500 0.000 Se
0.500 0.000 0.000 N
```

---

Entry 4:
A crystal of CaMgTc relaxed with PBEsol. Source: the Alexandria database, functional meta-GGA SCAN.

E above lowest polymorph, meV/atom: 0
Crystal system: tetragonal

Cell and atoms, written as POSCAR:
```
CaMgTc
1.0
3.289 0.000 0.000
0.000 3.289 0.000
-1.644 -1.644 5.968
Ca Mg Tc
1 1 1
direct
0.981 0.981 0.962 Ca
0.699 0.699 0.398 Mg
0.320 0.320 0.640 Tc
```

---

Entry 5:
A crystal of Ca2NbCoH relaxed with PBEsol. Source: the Alexandria database, functional meta-GGA SCAN.

Crystal system: tetragonal

Cell and atoms, written as POSCAR:
```
Ca2NbCoH
1.0
-2.241 1.138 2.065
-1.338 -4.834 1.211
3.492 -0.015 3.799
H Nb Co Ca
1 1 1 2
direct
0.000 0.000 0.000 H
0.500 0.500 0.500 Nb
0.500 0.000 0.000 Co
0.000 0.000 0.500 Ca
0.000 0.500 0.000 Ca
```

---

Entry 6:
A crystal of Re3TePt relaxed with PBEsol. Source: the Alexandria database, functional meta-GGA SCAN.

Crystal system: cubic
E_form (uncorrected), meV per atom: 2391.6

Cell and atoms, written as POSCAR:
```
Re3TePt
1.0
4.733 0.000 0.000
0.000 4.733 0.000
0.000 0.000 4.733
Re Te Pt
3 1 1
direct
0.000 0.500 0.000 Re
0.000 0.000 0.500 Re
0.500 0.000 0.000 Re
0.500 0.500 0.500 Te
0.000 0.000 0.000 Pt
```

---

Entry 7:
A crystal of CoTc2 relaxed with PBEsol. Source: the Alexandria database, functional meta-GGA SCAN.

E above lowest polymorph, meV/atom: 73
Crystal system: tetragonal

Cell and atoms, written as POSCAR:
```
CoTc2
1.0
3.699 0.000 0.000
0.000 3.699 0.000
-1.849 -1.849 11.049
Co Tc
4 8
direct
0.915 0.915 0.830 Co
0.085 0.085 0.170 Co
0.165 0.665 0.330 Co
0.335 0.835 0.670 Co
0.751 0.751 0.502 Tc
0.249 0.249 0.498 Tc
0.001 0.501 0.002 Tc
0.499 0.999 0.998 Tc
0.586 0.586 0.171 Tc
0.414 0.414 0.829 Tc
0.836 0.336 0.671 Tc
0.664 0.164 0.329 Tc
```

---

Entry 8:
A crystal of Sc2NiP relaxed with PBEsol. Source: the Alexandria database, functional meta-GGA SCAN.

Crystal system: tetragonal

Cell and atoms, written as POSCAR:
```
Sc2NiP
1.0
3.270 0.000 0.030
0.000 3.270 0.000
-0.053 0.000 5.943
Ni P Sc
1 1 2
direct
0.500 0.500 0.000 Ni
0.500 0.500 0.500 P
0.000 0.000 0.747 Sc
0.000 0.000 0.253 Sc
```

---

Entry 9:
A crystal of LaTc2Se relaxed with PBEsol. Source: the Alexandria database, functional meta-GGA SCAN.

Crystal system: tetragonal
E_form (uncorrected), meV per atom: 277.5

Cell and atoms, written as POSCAR:
```
LaTc2Se
1.0
-1.950 3.091 1.327
-0.268 -1.672 3.500
5.489 1.464 -1.040
La Se Tc
1 1 2
direct
0.500 0.500 0.000 La
0.000 0.000 0.000 Se
0.750 0.250 0.500 Tc
0.250 0.750 0.500 Tc
```

---

Entry 10:
A crystal of Ni6SbRu relaxed with PBEsol. Source: the Alexandria database, functional meta-GGA SCAN.

Crystal system: orthorhombic
E_form (uncorrected), meV per atom: 37.0

Cell and atoms, written as POSCAR:
```
Ni6SbRu
1.0
-6.190 -0.811 -0.297
2.828 -5.569 0.235
-0.512 0.171 10.214
Ni Ru Sb
24 4 4
direct
0.246 0.754 0.743 Ni
0.879 0.632 0.871 Ni
0.121 0.368 0.871 Ni
0.754 0.246 0.743 Ni
0.368 0.121 0.871 Ni
0.632 0.879 0.871 Ni
0.500 0.500 0.500 Ni
0.118 0.372 0.622 Ni
0.372 0.118 0.622 Ni
0.246 0.754 0.257 Ni
0.882 0.628 0.378 Ni
0.118 0.372 0.378 Ni
0.754 0.246 0.257 Ni
0.372 0.118 0.378 Ni
0.628 0.882 0.378 Ni
0.500 0.500 0.000 Ni
0.121 0.368 0.129 Ni
0.368 0.121 0.129 Ni
0.000 0.000 0.500 Ni
0.628 0.882 0.622 Ni
0.882 0.628 0.622 Ni
0.000 0.000 0.000 Ni
0.632 0.879 0.129 Ni
0.879 0.632 0.129 Ni
0.252 0.748 0.500 Ru
0.748 0.252 0.500 Ru
0.000 0.000 0.744 Ru
0.000 0.000 0.256 Ru
0.251 0.749 0.000 Sb
0.749 0.251 0.000 Sb
0.500 0.500 0.746 Sb
0.500 0.500 0.254 Sb
```

---

Entry 11:
A crystal of TlTc2SbBr relaxed with PBEsol. Source: the Alexandria database, functional meta-GGA SCAN.

Crystal system: tetragonal
E_form (uncorrected), meV per atom: 1810.4

Cell and atoms, written as POSCAR:
```
TlTc2SbBr
1.0
5.159 0.000 0.000
0.000 5.159 0.000
0.000 0.000 5.315
Sb Tl Tc Br
1 1 2 1
direct
0.500 0.500 0.500 Sb
0.000 0.000 0.000 Tl
0.000 0.500 0.000 Tc
0.500 0.000 0.000 Tc
0.000 0.000 0.500 Br
```

---

Entry 12:
A crystal of La2ZrCrPd relaxed with PBEsol. Source: the Alexandria database, functional meta-GGA SCAN.

Crystal system: tetragonal

Cell and atoms, written as POSCAR:
```
La2ZrCrPd
1.0
-3.933 1.958 1.081
-1.496 -0.076 -5.305
-2.278 -4.969 0.714
Cr Zr Pd La
1 1 1 2
direct
0.500 0.000 0.000 Cr
0.000 0.000 0.000 Zr
0.500 0.500 0.500 Pd
0.000 0.000 0.500 La
0.000 0.500 0.000 La
```

---

Entry 13:
A crystal of Y2CF2 relaxed with PBEsol. Source: the Alexandria database, functional meta-GGA SCAN.

Crystal system: tetragonal
E_form (uncorrected), meV per atom: -2238.4

Cell and atoms, written as POSCAR:
```
Y2CF2
1.0
3.342 0.000 0.000
0.000 3.342 0.000
-1.671 -1.671 6.008
Y C F
2 1 2
direct
0.384 0.384 0.769 Y
0.616 0.616 0.231 Y
0.000 0.000 0.000 C
0.250 0.750 0.500 F
0.750 0.250 0.500 F
```

---

Entry 14:
A crystal of Li2CaZn relaxed with PBEsol. Source: the Alexandria database, functional meta-GGA SCAN.

Crystal system: monoclinic

Cell and atoms, written as POSCAR:
```
Li2CaZn
1.0
3.466 0.000 0.015
0.000 4.951 0.000
-0.605 0.000 5.223
Zn Ca Li
1 1 2
direct
0.500 0.500 0.000 Zn
0.000 0.500 0.500 Ca
0.691 0.000 0.795 Li
0.309 0.000 0.205 Li
```

---

The evaluated calculated volume for the records listed, in turn: 15.89; 15.64; 14.69; 21.51; 17.32; 21.20; 12.60; 15.89; 19.20; 11.77; 28.29; 27.50; 13.42; 22.42 A^3/atom.
The evaluated VASP energy for the records listed, in turn: -19.5032; -23.3543; -17.5972; -16.1148; -14.1219; -61.7557; -29.0184; -14.5889; -33.0483; -21.1039; -38.0293; -32.8399; -16.8115; -7.0128 eV per atom.